(1)
Below is crystalline Mg2ZrFe at its relaxed geometry, with properties calculated at the PBE level.

Output
The value obtained for the total magnetization is 1.81 μB/cell. Its energy of formation from the pure elements is 0.181 eV/atom. The value obtained for the density of states at the Fermi level is 7.372 states/eV per cell. The density comes out at 4.43 Mg/m³.

Lattice parameters (Å, degrees): 4.695 4.695 4.695 119.86 119.86 90.25
Site moments in Bohr magnetons follow the coordinates.
Atoms (fractional coordinates):
Zr (0.500, 0.500, 0.000)  -0.33
Mg (0.000, 0.000, 0.000)  0.00
Mg (0.250, 0.750, 0.500)  -0.01
Fe (0.750, 0.250, 0.500)  2.16

---

(2)
Below is crystalline ScAgTe3 at its relaxed geometry, with properties calculated at the PBE level.

Output
The value obtained for the total magnetization is 0.00 μB/cell. The value obtained for the density of states at the Fermi level is 7.603 states/eV per cell. The density comes out at 5.22 Mg/m³. Its raw formation energy is -3.72 kJ/mol of atoms.

Lattice parameters (Å, degrees): 5.543 5.543 5.543 90.00 90.00 90.00
Atoms (fractional coordinates):
Te (0.000, 0.000, 0.500)
Sc (0.000, 0.000, 0.000)
Te (0.500, 0.000, 0.000)
Ag (0.500, 0.500, 0.500)
Te (0.000, 0.500, 0.000)